Material: Li2MoAu
Method: DFT, PBE
State: relaxed

energy of formation	0.13	eV/atom
total energy	-17.4	eV/f.u.
total moment	0.00	μB/f.u.

Geometry as POSCAR:
```
Li2MoAu
1.0
2.663 0.000 0.000
0.000 4.653 0.000
-0.008 0.000 5.094
Li Mo Au
2 1 1
direct
0.000 0.000 0.000 Li
0.499 0.500 0.849 Li
0.997 0.500 0.359 Mo
0.498 0.000 0.519 Au
```